DFT (GGA-PBE) results for an optimized crystal structure of InTcRu2.

As for the formation energy: 0.22 eV/atom. The total energy comes out at -7.6922 eV per atom. The value obtained for the density of states at the Fermi level is 9.160 states/eV per cell. For the size of the total moment, the calculation gives 0.00 μB per formula unit.

It has space group Cm (No. 8), with a = 9.346 Å, b = 2.870 Å, c = 4.782 Å, α = 90.00°, β = 101.92° and γ = 90.00°. The asymmetric unit holds In at (0.000, 0.000, 0.000), Tc at (0.234, 0.000, 0.683), Ru at (0.259, 0.500, 0.232) and Ru at (0.495, 0.000, 0.507).

DFT (GGA-PBE) results for an optimized crystal structure of In2TcRu.

As for the formation energy: 0.39 eV/atom. The total energy comes out at -5.8896 eV per atom. The value obtained for the density of states at the Fermi level is 10.621 states/eV per cell. For the size of the total moment, the calculation gives 0.01 μB per formula unit.

It has space group I-4m2 (No. 119), with a = 4.087 Å, b = 4.087 Å, c = 8.327 Å, α = 90.00°, β = 90.00° and γ = 90.00°. The asymmetric unit holds In at (0.000, 0.000, 0.000), In at (0.000, 0.500, 0.250), Tc at (0.000, 0.000, 0.500) and Ru at (0.000, 0.500, 0.750).

DFT (GGA-PBE) results for an optimized crystal structure of InTcRu.

As for the formation energy: 0.23 eV/atom. The total energy comes out at -7.2297 eV per atom. The value obtained for the density of states at the Fermi level is 3.725 states/eV per cell. For the size of the total moment, the calculation gives 0.00 μB per formula unit.

It has space group P3m1 (No. 156), with a = 2.8834 Å, b = 2.8834 Å, c = 6.8206 Å, α = 90.00°, β = 90.00° and γ = 120.00°. The asymmetric unit holds In at (0.0000, 0.0000, 0.0000), Tc at (0.3333, 0.6667, 0.6439) and Ru at (0.6667, 0.3333, 0.3505).

DFT (GGA-PBE) results for an optimized crystal structure of InTcRu2.

As for the formation energy: 0.22 eV/atom. The total energy comes out at -7.6976 eV per atom. The value obtained for the density of states at the Fermi level is 5.342 states/eV per cell. For the size of the total moment, the calculation gives 0.01 μB per formula unit.

It has space group P4mm (No. 99), with a = 2.838 Å, b = 2.838 Å, c = 7.773 Å, α = 90.00°, β = 90.00° and γ = 90.00°. The asymmetric unit holds In at (0.000, 0.000, 0.000), Tc at (0.500, 0.500, 0.722), Ru at (0.000, 0.000, 0.497) and Ru at (0.500, 0.500, 0.265).